Entry 1:
The following is a PBE calculation of a relaxed structure of Pm2Co3Ge4Ir, from Alexandria via LeMat-Bulk.

Structure (POSCAR):
```
Pm2Co3Ge4Ir
1.0
4.136 0.000 0.000
0.000 4.136 0.000
0.000 0.000 9.830
Pm Co Ge Ir
2 3 4 1
Cartesian
0.000 2.068 2.385
2.068 0.000 7.445
0.000 2.068 8.621
2.068 0.000 1.209
2.068 2.068 4.915
0.000 0.000 0.000
0.000 2.068 6.267
2.068 0.000 3.563
2.068 2.068 0.000
0.000 0.000 4.915
```

Properties
DFT total energy ... -6.440 eV/atom
Spin magnetization ... 0.0 μB/cell
DOS(E_F) ... 0.7132 states/eV per atom
DFT formation energy ... -0.625 eV per atom
Theoretical density ... 9.375 g/cm³

---

Entry 2:
The following is a PBE calculation of a relaxed structure of PrCoGe3Ir, from Alexandria via LeMat-Bulk.

Structure (POSCAR):
```
PrCoGe3Ir
1.0
3.205 -6.364 0.000
3.205 6.364 0.000
0.000 0.000 5.972
Pr Co Ge Ir
2 2 6 2
Cartesian
3.205 3.762 4.479
3.205 -3.762 1.493
3.205 5.898 1.493
3.205 -5.898 4.479
3.205 3.702 1.493
1.775 0.000 0.000
1.775 0.000 2.986
4.635 0.000 0.000
4.635 0.000 2.986
3.205 -3.702 4.479
3.205 1.387 1.493
3.205 -1.387 4.479
```

Properties
DFT total energy ... -6.118 eV/atom
Spin magnetization ... 0.0 μB/cell
DOS(E_F) ... 0.4409 states/eV per atom
DFT formation energy ... -0.351 eV per atom
Theoretical density ... 8.315 g/cm³

---

Entry 3:
The following is a PBE calculation of a relaxed structure of Pu2CoGe4Ir3, from Alexandria via LeMat-Bulk.

Structure (POSCAR):
```
Pu2CoGe4Ir3
1.0
4.198 0.000 0.000
0.000 4.198 0.000
0.000 0.000 10.170
Pu Co Ge Ir
2 1 4 3
Cartesian
0.000 2.099 2.527
2.099 0.000 7.643
2.099 2.099 0.000
0.000 0.000 5.085
0.000 2.099 8.888
2.099 0.000 1.282
2.099 2.099 5.085
0.000 0.000 0.000
0.000 2.099 6.429
2.099 0.000 3.741
```

Properties
DFT total energy ... -8.583 eV/atom
Spin magnetization ... 10.5 μB/cell
DOS(E_F) ... 2.8330 states/eV per atom
DFT formation energy ... -0.501 eV per atom
Theoretical density ... 13.104 g/cm³

---

Entry 4:
The following is a PBE calculation of a relaxed structure of Pu2CoGe6Ir, from Alexandria via LeMat-Bulk.

Structure (POSCAR):
```
Pu2CoGe6Ir
1.0
3.010 1.738 12.272
-3.010 1.738 12.272
0.000 -3.476 12.272
Pu Co Ge Ir
4 2 12 2
Cartesian
0.000 0.000 3.933
0.000 0.000 10.952
0.000 0.000 25.864
0.000 0.000 32.883
0.000 0.000 0.000
0.000 0.000 18.408
-1.747 -1.009 17.142
0.000 -1.532 13.665
-1.327 0.766 13.665
-1.327 -0.766 23.151
0.000 -2.017 19.674
-1.747 1.009 19.674
1.747 -1.009 17.142
0.000 2.017 17.142
1.327 0.766 13.665
1.327 -0.766 23.151
0.000 1.532 23.151
1.747 1.009 19.674
0.000 0.000 15.723
0.000 0.000 21.093
```

Properties
DFT total energy ... -7.488 eV/atom
Spin magnetization ... 22.3 μB/cell
DOS(E_F) ... 1.8046 states/eV per atom
DFT formation energy ... -0.255 eV per atom
Theoretical density ... 10.132 g/cm³

---

What did the first record say?
The following is a PBE calculation of a relaxed structure of Pm2Co3Ge4Ir, from Alexandria via LeMat-Bulk.

Structure (POSCAR):
```
Pm2Co3Ge4Ir
1.0
4.136 0.000 0.000
0.000 4.136 0.000
0.000 0.000 9.830
Pm Co Ge Ir
2 3 4 1
Cartesian
0.000 2.068 2.385
2.068 0.000 7.445
0.000 2.068 8.621
2.068 0.000 1.209
2.068 2.068 4.915
0.000 0.000 0.000
0.000 2.068 6.267
2.068 0.000 3.563
2.068 2.068 0.000
0.000 0.000 4.915
```

Properties
DFT total energy ... -6.440 eV/atom
Spin magnetization ... 0.0 μB/cell
DOS(E_F) ... 0.7132 states/eV per atom
DFT formation energy ... -0.625 eV per atom
Theoretical density ... 9.375 g/cm³

---

> What is the DOS(E_F) in the second record?

0.4409 states/eV per atom

---

> The highest theoretical density belongs to which entry?

Pu2CoGe4Ir3